## NaPu2Pt (GGA-PBE)

Data for an optimized crystal structure of NaPu2Pt.

Unit cell a=3.725 b=3.725 c=32.484 alpha=90.00 beta=90.00 gamma=120.00
Sites, in units of the cell vectors:
1 Na 0.000 0.000 0.000
2 Na 0.333 0.667 0.667
3 Na 0.667 0.333 0.333
4 Pu 0.000 0.000 0.110
5 Pu 0.000 0.000 0.890
6 Pu 0.333 0.667 0.557
7 Pu 0.333 0.667 0.776
8 Pu 0.667 0.333 0.224
9 Pu 0.667 0.333 0.443
10 Pt 0.000 0.000 0.500
11 Pt 0.333 0.667 0.167
12 Pt 0.667 0.333 0.833

Calculated values
polymorph energy (0 for the lowest one) = 131.8 meV/atom
total moment = 12.1 μB/f.u.
ΔH_f (0 K) = -0.047 eV per atom
space group = R-3m, No. 166


## NaPuPt2 (GGA-PBE)

Data for an optimized crystal structure of NaPuPt2.

Unit cell a=3.993 b=3.993 c=21.031 alpha=90.00 beta=90.00 gamma=120.00
Sites, in units of the cell vectors:
1 Na 0.000 0.000 0.000
2 Na 0.333 0.667 0.667
3 Na 0.667 0.333 0.333
4 Pu 0.000 0.000 0.500
5 Pu 0.333 0.667 0.167
6 Pu 0.667 0.333 0.833
7 Pt 0.000 0.000 0.240
8 Pt 0.000 0.000 0.760
9 Pt 0.333 0.667 0.426
10 Pt 0.333 0.667 0.907
11 Pt 0.667 0.333 0.093
12 Pt 0.667 0.333 0.574

Calculated values
total moment = 4.8 μB/f.u.
ΔH_f (0 K) = -0.320 eV per atom
space group = R-3m, No. 166


## NaPuPt (GGA-PBE)

Data for an optimized crystal structure of NaPuPt.

Unit cell a=5.086 b=4.349 c=11.688 alpha=90.00 beta=94.61 gamma=90.00
Sites, in units of the cell vectors:
1 Na 0.229 0.000 0.372
2 Na 0.271 0.500 0.628
3 Na 0.729 0.500 0.372
4 Na 0.771 0.000 0.628
5 Pu 0.200 0.000 0.054
6 Pu 0.300 0.500 0.946
7 Pu 0.700 0.500 0.054
8 Pu 0.800 0.000 0.946
9 Pt 0.197 0.500 0.204
10 Pt 0.303 0.000 0.796
11 Pt 0.697 0.000 0.204
12 Pt 0.803 0.500 0.796

Calculated values
total moment = 0.0 μB/f.u.
ΔH_f (0 K) = -0.180 eV per atom
space group = C2/m, No. 12


## Na2Pu2Pt15 (GGA-PBE)

Data for an optimized crystal structure of Na2Pu2Pt15.

Unit cell a=7.084 b=7.084 c=7.084 alpha=83.25 beta=83.25 gamma=83.25
Sites, in units of the cell vectors:
1 Na 0.135 0.135 0.135
2 Na 0.865 0.865 0.865
3 Pu 0.397 0.397 0.397
4 Pu 0.603 0.603 0.603
5 Pt 0.000 0.500 0.500
6 Pt 0.155 0.155 0.662
7 Pt 0.155 0.662 0.155
8 Pt 0.187 0.500 0.813
9 Pt 0.187 0.813 0.500
10 Pt 0.338 0.845 0.845
11 Pt 0.500 0.000 0.500
12 Pt 0.500 0.187 0.813
13 Pt 0.500 0.500 0.000
14 Pt 0.500 0.813 0.187
15 Pt 0.662 0.155 0.155
16 Pt 0.813 0.187 0.500
17 Pt 0.813 0.500 0.187
18 Pt 0.845 0.338 0.845
19 Pt 0.845 0.845 0.338

Calculated values
total moment = 9.4 μB/f.u.
ΔH_f (0 K) = -0.313 eV per atom
space group = R-3m, No. 166


## NaPuPt2 (GGA-PBE)

Data for an optimized crystal structure of NaPuPt2.

Unit cell a=3.391 b=3.391 c=7.291 alpha=90.00 beta=90.00 gamma=90.00
Sites, in units of the cell vectors:
1 Na 0.000 0.000 0.000
2 Pu 0.000 0.000 0.500
3 Pt 0.500 0.500 0.269
4 Pt 0.500 0.500 0.731

Calculated values
total moment = 4.8 μB/f.u.
ΔH_f (0 K) = -0.465 eV per atom
space group = P4/mmm, No. 123


## Na3Pu2PtS6 (GGA-PBE)

Data for an optimized crystal structure of Na3Pu2PtS6.

Unit cell a=6.677 b=6.677 c=7.082 alpha=98.69 beta=98.69 gamma=120.22
Sites, in units of the cell vectors:
1 Na 0.000 0.000 0.000
2 Na 0.336 0.664 0.000
3 Na 0.664 0.336 0.000
4 Pu 0.169 0.831 0.500
5 Pu 0.831 0.169 0.500
6 Pt 0.500 0.500 0.500
7 S 0.098 0.421 0.271
8 S 0.267 0.267 0.710
9 S 0.421 0.098 0.271
10 S 0.579 0.902 0.729
11 S 0.733 0.733 0.290
12 S 0.902 0.579 0.729

Calculated values
total moment = 9.3 μB/f.u.
formation energy from raw total energies = -1.161 eV per atom
space group = C2/m, No. 12